## Pu3AuO (PBE)

Data for a geometry-optimized Pu3AuO structure. Values from VASP.

The structure in Quantum ESPRESSO input format:
```
&SYSTEM
  ibrav = 0, nat = 5, ntyp = 3
/
ATOMIC_SPECIES
Pu 244.00 Pu.upf
Au 196.97 Au.upf
O 16.00 O.upf
CELL_PARAMETERS angstrom
-0.006 4.820 -0.033
-0.820 0.031 4.750
4.750 0.012 0.820
ATOMIC_POSITIONS crystal
Pu 0.500 0.000 0.000
Pu 0.000 0.500 0.000
Pu 0.000 0.000 0.500
Au 0.500 0.500 0.500
O 0.000 0.000 0.000
```

The total DFT energy (no corrections) comes out at -11.24 eV per atom. The calculation puts the total moment at 18.21 μB/cell.